1.
A plane-wave DFT calculation with PBE+U was carried out for a relaxed Na2CoF crystal.

Results
Mass density = 2.21 Mg/m³
Spin magnetization = 4.077 μB per cell
Fermi-level density of states = 7.52 states/eV/f.u.

Geometry as CIF:
```
data_Na2CoF
_space_group_name_H-M_alt 'P 1'
_space_group_IT_number 1
_cell_length_a 6.292
_cell_length_b 6.292
_cell_length_c 6.292
_cell_angle_alpha 115.26
_cell_angle_beta 115.26
_cell_angle_gamma 98.43
loop_
_space_group_symop_operation_xyz
'x,y,z'
loop_
_atom_site_label
_atom_site_fract_x
_atom_site_fract_y
_atom_site_fract_z
_atom_site_occupancy
Na1 0.013 0.625 0.888 1
Na2 0.375 0.263 0.388 1
Na3 0.737 0.125 0.112 1
Na4 0.875 0.987 0.612 1
Co1 0.250 0.750 0.500 1
Co2 0.500 0.500 0.000 1
F1 0.000 0.000 0.000 1
F2 0.750 0.250 0.500 1
```


2.
A plane-wave DFT calculation with PBE+U was carried out for a relaxed Li8Cr3TeO12 crystal.

Results
Mass density = 4.02 Mg/m³
Spin magnetization = 8.000 μB per cell

Geometry as CIF:
```
data_Li8Cr3TeO12
_space_group_name_H-M_alt 'P 1'
_space_group_IT_number 1
_cell_length_a 5.042
_cell_length_b 8.601
_cell_length_c 5.060
_cell_angle_alpha 90.00
_cell_angle_beta 90.37
_cell_angle_gamma 90.00
loop_
_space_group_symop_operation_xyz
'x,y,z'
loop_
_atom_site_label
_atom_site_fract_x
_atom_site_fract_y
_atom_site_fract_z
_atom_site_occupancy
Li1 0.000 0.000 0.000 1
Li2 0.000 0.132 0.500 1
Li3 0.000 0.284 0.000 1
Li4 0.000 0.841 0.500 1
Li5 0.500 0.304 0.000 1
Li6 0.500 0.471 0.500 1
Li7 0.500 0.620 0.000 1
Li8 0.500 0.806 0.500 1
Cr1 0.000 0.455 0.500 1
Cr2 0.500 0.145 0.500 1
Cr3 0.500 0.977 0.000 1
Te1 0.000 0.649 0.000 1
O1 0.218 0.483 0.168 1
O2 0.220 0.633 0.683 1
O3 0.237 0.803 0.153 1
O4 0.261 0.305 0.647 1
O5 0.275 0.134 0.174 1
O6 0.285 0.985 0.665 1
O7 0.715 0.985 0.335 1
O8 0.725 0.134 0.826 1
O9 0.739 0.305 0.353 1
O10 0.763 0.803 0.847 1
O11 0.780 0.633 0.317 1
O12 0.782 0.483 0.832 1
```


no.,DFT total energy (eV/atom)
1,-2.961
2,-5.991